Computed, not measured: crystalline Tb2Sm6TmMg at its relaxed geometry at the PBE level of DFT.

Results
Volume ... 32.43 Å³/atom
Energy of formation ... 0.118 eV per atom
D(E_F) ... 25.79 states/eV/cell
Symmetry ... C2/c

POSCAR file:
```
Tb2Sm6TmMg
1.0
-4.176 -6.150 6.014
8.106 -1.762 2.804
-3.913 7.032 3.452
Sm Tm Mg Tb
12 2 2 4
Direct
0.886 0.293 0.498
0.193 0.568 0.004
0.448 0.239 0.875
0.052 0.125 0.761
0.614 0.502 0.707
0.807 0.432 0.996
0.948 0.875 0.239
0.114 0.707 0.502
0.386 0.498 0.293
0.552 0.761 0.125
0.307 0.996 0.432
0.693 0.004 0.568
0.250 0.980 0.020
0.750 0.020 0.980
0.250 0.409 0.591
0.750 0.591 0.409
0.450 0.799 0.700
0.550 0.201 0.300
0.950 0.700 0.799
0.050 0.300 0.201
```